Here is crystalline Zn5Ni6Ir at its relaxed geometry from Alexandria. Energies are from PBE-GGA.

```
data_Zn5Ni6Ir
_space_group_name_H-M_alt 'P 1'
_space_group_IT_number 1
_space_group_name_Hall 'P 1'
_cell_length_a 3.7984
_cell_length_b 6.8598
_cell_length_c 6.8598
_cell_angle_alpha 109.95
_cell_angle_beta 106.07
_cell_angle_gamma 106.07
loop_
_atom_site_label
_atom_site_type_symbol
_atom_site_fract_x
_atom_site_fract_y
_atom_site_fract_z
Ni1 Ni 0.2563 0.0893 0.4232
Ni2 Ni 0.7437 0.5768 0.9107
Ni3 Ni 0.2432 0.7432 0.7432
Ni4 Ni 0.2563 0.4232 0.0893
Ni5 Ni 0.7568 0.2568 0.2568
Ni6 Ni 0.7437 0.9107 0.5768
Ir1 Ir 0.0000 0.0000 0.0000
Zn1 Zn 0.0000 0.6691 0.3309
Zn2 Zn 0.0000 0.3309 0.6691
Zn3 Zn 0.5000 0.8376 0.1624
Zn4 Zn 0.5000 0.5000 0.5000
Zn5 Zn 0.5000 0.1624 0.8376
```

## Properties
ΔE_f, kJ/mol of formula units: -205
Symmetry: Immm, No. 71